(1)
A relaxed SrPb2Cl crystal. Source: Alexandria, functional PBE.

Values from the calculation:
- Energy relative to the elements, uncorrected: -0.869 eV per atom
- Energy above the most stable polymorph in this dataset: 14.0 meV/atom
- Final energy: -3.606 eV/atom
- Mass density: 6.713 g cm⁻³
- M_tot: 0.00 μB/cell

Cell: 8.3637 8.3637 8.3637 Å, 154.44 148.14 41.28°
Fractional coordinates of all 4 atoms:
Pb 0.4519 0.4519 0.0000
Sr 0.2500 0.7500 0.5000
Cl 0.7500 0.2500 0.5000
Pb 0.0481 0.0481 0.0000

***

(2)
A relaxed Sr2PbCl6 crystal. Source: Alexandria, functional PBE.

Values from the calculation:
- Energy relative to the elements, uncorrected: -2.029 eV per atom
- Energy above the most stable polymorph in this dataset: 0.0 meV/atom
- Final energy: -4.046 eV/atom
- Mass density: 3.194 g cm⁻³
- M_tot: 0.00 μB/cell

Cell: 6.7716 6.7716 13.4951 Å, 90.00 90.00 90.00°
Fractional coordinates of all 18 atoms:
Cl 0.6944 0.6944 0.0000
Sr 0.5000 0.5000 0.8330
Cl 0.8048 0.1952 0.1670
Cl 0.8048 0.1952 0.8330
Cl 0.8056 0.1944 0.5000
Pb 0.5000 0.5000 0.5000
Cl 0.1952 0.8048 0.8330
Cl 0.3048 0.3048 0.3330
Cl 0.6952 0.6952 0.6670
Sr 0.0000 0.0000 0.3330
Cl 0.3048 0.3048 0.6670
Sr 0.0000 0.0000 0.6670
Cl 0.3056 0.3056 0.0000
Cl 0.6952 0.6952 0.3330
Cl 0.1952 0.8048 0.1670
Pb 0.0000 0.0000 0.0000
Cl 0.1944 0.8056 0.5000
Sr 0.5000 0.5000 0.1670

***

(3)
A relaxed SrPb2Cl crystal. Source: Alexandria, functional PBE.

Values from the calculation:
- Energy relative to the elements, uncorrected: -0.220 eV per atom
- Energy above the most stable polymorph in this dataset: 663.6 meV/atom
- Final energy: -2.956 eV/atom
- Mass density: 6.745 g cm⁻³
- M_tot: 0.00 μB/cell

Cell: 3.7064 3.7064 10.1844 Å, 90.00 90.00 108.96°
Fractional coordinates of all 4 atoms:
Sr 0.5000 0.5000 0.2500
Cl 0.5000 0.5000 0.7500
Pb 0.0000 0.0000 0.9692
Pb 0.0000 0.0000 0.5308

***

(4)
A relaxed Sr3Pb5Cl12 crystal. Source: Alexandria, functional PBE.

Values from the calculation:
- Energy relative to the elements, uncorrected: -1.252 eV per atom
- Final energy: -3.539 eV/atom
- Mass density: 3.988 g cm⁻³
- M_tot: 14.89 μB/cell

Cell: 15.5099 15.5099 15.5099 Å, 109.47 109.47 109.47°
Last column: magnetic moment on the atom in μB.
Fractional coordinates of all 80 atoms:
Cl 0.4440 0.1580 0.6018  0.03
Cl 0.4440 0.2860 0.3422  0.03
Cl 0.3982 0.0562 0.3422  0.03
Sr 0.1250 0.8750 0.7500  0.01
Pb 0.5000 0.0000 0.0000  0.08
Pb 0.1250 0.7500 0.3750  0.28
Pb 0.5000 0.0000 0.5000  0.08
Cl 0.8422 0.8982 0.0562  0.03
Cl 0.6018 0.9438 0.6578  0.03
Cl 0.7860 0.4438 0.3420  0.03
Pb 0.3750 0.2500 0.1250  0.28
Pb 0.0000 0.0000 0.5000  0.08
Cl 0.2140 0.6578 0.0560  0.03
Pb 0.2500 0.3750 0.6250  0.28
Cl 0.2860 0.4440 0.8422  0.03
Sr 0.3750 0.6250 0.2500  0.01
Cl 0.8420 0.2860 0.4438  0.03
Cl 0.6578 0.4438 0.6018  0.03
Pb 0.3750 0.1250 0.7500  0.28
Sr 0.8750 0.1250 0.2500  0.01
Cl 0.2140 0.5562 0.6580  0.03
Cl 0.9438 0.6018 0.1578  0.03
Cl 0.3420 0.9438 0.7860  0.03
Pb 0.6250 0.8750 0.2500  0.28
Sr 0.6250 0.3750 0.7500  0.01
Cl 0.8982 0.0560 0.8420  0.03
Cl 0.3422 0.5562 0.3982  0.03
Sr 0.2500 0.6250 0.8750  0.01
Sr 0.7500 0.8750 0.6250  0.01
Cl 0.3982 0.3420 0.5560  0.03
Sr 0.8750 0.7500 0.1250  0.01
Cl 0.7860 0.3422 0.9440  0.03
Cl 0.0560 0.1578 0.2140  0.03
Cl 0.0562 0.6580 0.7140  0.03
Cl 0.4438 0.7860 0.8420  0.03
Cl 0.9440 0.1018 0.6580  0.03
Sr 0.7500 0.3750 0.1250  0.01
Sr 0.6250 0.2500 0.3750  0.01
Cl 0.9440 0.8422 0.7860  0.03
Cl 0.5560 0.8420 0.3982  0.03
Pb 0.2500 0.8750 0.1250  0.28
Cl 0.5560 0.7140 0.6578  0.03
Sr 0.2500 0.1250 0.3750  0.01
Cl 0.6578 0.2140 0.5560  0.03
Cl 0.6018 0.6580 0.4440  0.03
Pb 0.0000 0.0000 0.0000  0.08
Pb 0.6250 0.7500 0.8750  0.28
Cl 0.0562 0.3982 0.8422  0.03
Sr 0.1250 0.2500 0.8750  0.01
Cl 0.6580 0.0562 0.2140  0.03
Cl 0.5562 0.2140 0.1580  0.03
Cl 0.8982 0.8422 0.5562  0.03
Cl 0.9438 0.3420 0.2860  0.03
Pb 0.8750 0.6250 0.7500  0.28
Cl 0.3420 0.3982 0.0560  0.03
Pb 0.5000 0.5000 0.0000  0.08
Cl 0.6580 0.6018 0.9440  0.03
Cl 0.1018 0.9440 0.1580  0.03
Cl 0.1018 0.1578 0.4438  0.03
Pb 0.1250 0.3750 0.2500  0.28
Cl 0.1580 0.4440 0.1018  0.03
Cl 0.5562 0.3422 0.8982  0.03
Cl 0.7140 0.5560 0.1578  0.03
Pb 0.0000 0.5000 0.5000  0.08
Cl 0.1578 0.0560 0.7140  0.03
Pb 0.0000 0.5000 0.0000  0.08
Cl 0.0560 0.8982 0.3420  0.03
Cl 0.2860 0.8420 0.9438  0.03
Cl 0.4438 0.6578 0.1018  0.03
Sr 0.3750 0.7500 0.6250  0.01
Cl 0.8420 0.5560 0.8982  0.03
Pb 0.7500 0.1250 0.8750  0.28
Cl 0.7140 0.1580 0.0562  0.03
Pb 0.7500 0.6250 0.3750  0.28
Cl 0.8422 0.9440 0.2860  0.03
Pb 0.5000 0.5000 0.5000  0.08
Cl 0.1580 0.7140 0.5562  0.03
Cl 0.1578 0.1018 0.9438  0.03
Cl 0.3422 0.7860 0.4440  0.03
Pb 0.8750 0.2500 0.6250  0.28

***

(5)
A relaxed Sr2PbCl crystal. Source: Alexandria, functional PBE.

Values from the calculation:
- Energy relative to the elements, uncorrected: -0.387 eV per atom
- Energy above the most stable polymorph in this dataset: 830.6 meV/atom
- Final energy: -2.617 eV/atom
- Mass density: 5.017 g cm⁻³
- M_tot: 0.01 μB/cell

Cell: 5.8048 5.8048 5.8048 Å, 60.00 60.00 60.00°
Fractional coordinates of all 4 atoms:
Cl 0.5000 0.5000 0.5000
Pb 0.7500 0.7500 0.7500
Sr 0.2500 0.2500 0.2500
Sr 0.0000 0.0000 0.0000

***

(6)
A relaxed Sr2PbCl crystal. Source: Alexandria, functional PBE.

Values from the calculation:
- Energy relative to the elements, uncorrected: -1.084 eV per atom
- Energy above the most stable polymorph in this dataset: 134.2 meV/atom
- Final energy: -3.313 eV/atom
- Mass density: 5.295 g cm⁻³
- M_tot: 0.00 μB/cell

Cell: 5.9003 5.9003 3.7644 Å, 89.92 89.92 90.00°
Fractional coordinates of all 4 atoms:
Cl 0.5000 0.0000 0.5000
Sr 0.0000 0.0000 0.0000
Sr 0.5000 0.5000 0.0000
Pb 0.0000 0.5000 0.5000

***

(7)
A relaxed SrPb2Cl crystal. Source: Alexandria, functional PBE.

Values from the calculation:
- Energy relative to the elements, uncorrected: -0.778 eV per atom
- Energy above the most stable polymorph in this dataset: 105.2 meV/atom
- Final energy: -3.514 eV/atom
- Mass density: 6.885 g cm⁻³
- M_tot: 0.00 μB/cell

Cell: 4.3770 4.3876 6.7496 Å, 90.00 90.00 90.00°
Fractional coordinates of all 4 atoms:
Sr 0.5000 0.0000 0.5000
Cl 0.0000 0.5000 0.5000
Pb 0.5000 0.5000 0.0000
Pb 0.0000 0.0000 0.0000

***

(8)
A relaxed SrPb5Cl12 crystal. Source: Alexandria, functional PBE.

Values from the calculation:
- Energy relative to the elements, uncorrected: -1.356 eV per atom
- Final energy: -3.710 eV/atom
- Mass density: 3.999 g cm⁻³
- M_tot: 0.00 μB/cell

Cell: 7.6072 7.6506 12.7370 Å, 89.95 89.90 60.19°
Fractional coordinates of all 18 atoms:
Pb 0.3333 0.3334 0.0000
Cl 0.4987 0.3333 0.6157
Pb 0.5000 0.0000 0.5000
Cl 0.0006 0.6676 0.1141
Pb 0.8333 0.3334 0.5000
Pb 0.6667 0.6666 0.0000
Cl 0.3330 0.0000 0.1141
Cl 0.8320 0.6667 0.6157
Cl 0.8349 0.0000 0.3841
Cl 0.6671 0.0000 0.8859
Sr 0.0000 0.0000 0.0000
Cl 0.6682 0.3324 0.1140
Cl 0.1651 0.0000 0.6159
Cl 0.5013 0.6667 0.3843
Cl 0.9994 0.3324 0.8859
Pb 0.1667 0.6667 0.5000
Cl 0.1680 0.3333 0.3843
Cl 0.3318 0.6676 0.8860

***

(9)
A relaxed Sr2PbCl crystal. Source: Alexandria, functional PBE.

Values from the calculation:
- Energy relative to the elements, uncorrected: -0.994 eV per atom
- Energy above the most stable polymorph in this dataset: 223.4 meV/atom
- Final energy: -3.224 eV/atom
- Mass density: 4.552 g cm⁻³
- M_tot: 2.00 μB/cell

Cell: 8.3317 8.3317 7.3486 Å, 55.47 55.47 90.00°
Last column: magnetic moment on the atom in μB.
Fractional coordinates of all 8 atoms:
Sr 0.3750 0.4117 0.7500  0.06
Cl 0.5000 0.5000 0.0000  0.01
Cl 0.2500 0.7500 0.5000  0.01
Sr 0.1617 0.6250 0.2500  0.05
Pb 0.0000 0.0000 0.0000  0.24
Sr 0.8750 0.8383 0.7500  0.05
Sr 0.5883 0.1250 0.2500  0.05
Pb 0.7500 0.2500 0.5000  0.24

***

(10)
A relaxed SrPb2Cl crystal. Source: Alexandria, functional PBE.

Values from the calculation:
- Energy relative to the elements, uncorrected: -0.240 eV per atom
- Energy above the most stable polymorph in this dataset: 643.0 meV/atom
- Final energy: -2.977 eV/atom
- Mass density: 6.960 g cm⁻³
- M_tot: 0.00 μB/cell

Cell: 5.6602 5.6602 5.6602 Å, 60.00 60.00 60.00°
Fractional coordinates of all 4 atoms:
Sr 0.5000 0.5000 0.5000
Pb 0.2500 0.2500 0.2500
Pb 0.7500 0.7500 0.7500
Cl 0.0000 0.0000 0.0000

***

(11)
A relaxed SrPb2Cl crystal. Source: Alexandria, functional PBE.

Values from the calculation:
- Energy relative to the elements, uncorrected: -0.883 eV per atom
- Energy above the most stable polymorph in this dataset: 0.0 meV/atom
- Final energy: -3.620 eV/atom
- Mass density: 6.578 g cm⁻³
- M_tot: 0.00 μB/cell

Cell: 3.8707 3.8126 9.9648 Å, 67.32 90.00 90.00°
Fractional coordinates of all 4 atoms:
Cl 0.5000 0.8264 0.6708
Sr 0.0000 0.4766 0.5219
Pb 0.5000 0.2471 0.2542
Pb 0.0000 0.9498 0.0531

***

(12)
A relaxed SrTaPbCl2 crystal. Source: Alexandria, functional PBE.

Values from the calculation:
- Energy relative to the elements, uncorrected: 0.284 eV per atom
- Final energy: -3.903 eV/atom
- Mass density: 4.333 g cm⁻³
- M_tot: 2.93 μB/cell

Cell: 5.2071 7.7268 5.2071 Å, 90.00 90.00 90.00°
Last column: magnetic moment on the atom in μB.
Fractional coordinates of all 5 atoms:
Pb 0.0000 0.5000 0.0000  -0.03
Cl 0.0000 0.0000 0.5000  0.02
Sr 0.0000 0.0000 0.0000  0.00
Cl 0.5000 0.0000 0.0000  0.01
Ta 0.5000 0.5000 0.5000  1.92